Entry 1:
5
Lattice="4.3647 0.0000 0.0000 0.0000 4.3647 0.0000 0.0000 0.0000 4.3647" Properties=species:S:1:pos:R:3 comment="Hf3HAu PBE optimized geometry" sg="Pm-3m, No. 221" polymorph_energy_mev_per_atom=0 vol_a3_per_cell=83.2 total_energy_ev_per_atom=-7.593 pbc="T T T"
Hf 0.0000 0.0000 2.1824
Hf 0.0000 2.1824 0.0000
Hf 2.1824 0.0000 0.0000
H 0.0000 0.0000 0.0000
Au 2.1824 2.1824 2.1824

---

Entry 2:
5
Lattice="4.2866 0.0000 0.0000 0.0000 4.2866 0.0000 0.0000 0.0000 4.1434" Properties=species:S:1:pos:R:3 comment="LiHf2HAu PBE optimized geometry" sg="P4/mmm, No. 123" vol_a3_per_cell=76.1 total_energy_ev_per_atom=-5.944 pbc="T T T"
Li 0.0000 0.0000 0.0000
Hf 0.0000 2.1433 2.0717
Hf 2.1433 0.0000 2.0717
H 0.0000 0.0000 2.0717
Au 2.1433 2.1433 0.0000